Computed, not measured: a relaxed structure of Np2Ga4PdPt3 at the PBE level of DFT.

a b c (Å): 4.1155 4.1155 11.1144
angles (deg): 90.00 90.00 90.00
With the nearest neighbours (Å) after each atom.
Space group P-4m2 (No. 115)
Unique sites:
Np1 0.0000 0.5000 0.2460  6 Pt 3.13-3.49, 8 Ga 3.21-3.42, 2 Pd 3.49
Ga1 0.0000 0.0000 0.0000  4 Pt 2.60, 4 Ga 2.91
Ga2 0.0000 0.5000 0.6327  3 Pt 2.49-2.53, 2 Pd 2.53
Ga3 0.5000 0.5000 0.0000  4 Pt 2.60, 4 Ga 2.91
Pd1 0.0000 0.0000 0.5000  4 Ga 2.53
Pt1 0.0000 0.5000 0.8570  5 Ga 2.49-2.60
Pt2 0.5000 0.5000 0.5000  4 Ga 2.53

Properties
Fermi-level density of states   23.84 states/eV/f.u.
Raw total energy   -67.0 eV for the cell shown
Energy of formation from the pure elements   -55 kJ per mole of atoms